Entry from Alexandria: a crystal of Rb2NaAl6F21 relaxed with PBEsol (meta-GGA SCAN).

Calculated values
SG ... C2
E_form (uncorrected) ... -3.7074 eV per atom

Lattice parameters (Å, degrees): 6.982 6.982 10.158 70.05 70.05 60.14
Element x y z (fractional)
Rb  0.845  0.874  0.411
Rb  0.126  0.155  0.589
Na  0.508  0.492  0.500
Al  0.086  0.541  0.806
Al  0.459  0.914  0.194
Al  0.587  0.040  0.809
Al  0.588  0.540  0.808
Al  0.460  0.412  0.192
Al  0.960  0.413  0.191
F  0.441  0.310  0.377
F  0.690  0.559  0.623
F  0.513  0.837  0.789
F  0.163  0.487  0.211
F  0.546  0.134  0.165
F  0.052  0.485  0.999
F  0.654  0.242  0.838
F  0.411  0.869  0.381
F  0.169  0.121  0.189
F  0.292  0.246  0.813
F  0.758  0.346  0.162
F  0.478  0.522  0.000
F  0.657  0.126  0.624
F  0.374  0.695  0.213
F  0.131  0.589  0.619
F  0.754  0.708  0.187
F  0.866  0.454  0.835
F  0.305  0.626  0.787
F  0.879  0.831  0.811
F  0.515  0.948  0.001
F  0.874  0.343  0.376